[1]
Below is an optimized crystal structure of Ba2AlCu, with properties calculated at the PBE-GGA level.

extended XYZ file:
```
8
Lattice="4.0853 0.0000 0.0000 0.0000 5.7604 0.0000 0.0000 0.0000 10.8911" Properties=species:S:1:pos:R:3 pbc="T T T"
Ba 0.0000 0.0000 0.0000
Ba 0.0000 2.8802 2.0455
Ba 2.0427 0.0000 7.4910
Ba 2.0427 2.8802 5.4455
Al 0.0000 2.8802 8.6019
Al 2.0427 0.0000 3.1564
Cu 0.0000 0.0000 4.4818
Cu 2.0427 2.8802 9.9274
```

Summary:
- E_form: -31 meV/atom

[2]
Below is an optimized crystal structure of YAgSb2Te, with properties calculated at the PBE-GGA level.

extended XYZ file:
```
5
Lattice="5.8013 0.0000 0.0000 0.0000 5.8013 0.0000 0.0000 0.0000 5.7884" Properties=species:S:1:pos:R:3 pbc="T T T"
Y 0.0000 0.0000 0.0000
Ag 2.9007 2.9007 2.8942
Sb 0.0000 2.9007 0.0000
Sb 2.9007 0.0000 0.0000
Te 0.0000 0.0000 2.8942
```

Summary:
- Formation energy without anion corrections: 0.359 eV/atom

[3]
Below is an optimized crystal structure of CaSbAu, with properties calculated at the PBE-GGA level.

extended XYZ file:
```
6
Lattice="4.5176 0.0000 0.0000 0.0000 4.5176 0.0000 0.0000 0.0000 7.3396" Properties=species:S:1:pos:R:3 pbc="T T T"
Ca 1.1294 3.3882 0.0000
Ca 3.3882 1.1294 0.0000
Sb 1.1294 1.1294 2.3598
Sb 3.3882 3.3882 4.9798
Au 1.1294 1.1294 5.2105
Au 3.3882 3.3882 2.1291
```

Summary:
- Formation energy without anion corrections: -0.431 eV/atom

[4]
Below is an optimized crystal structure of Zr2Pd2Pt, with properties calculated at the PBE-GGA level.

extended XYZ file:
```
10
Lattice="7.3818 0.0000 0.0000 0.0000 7.3818 0.0000 0.0000 0.0000 3.5723" Properties=species:S:1:pos:R:3 pbc="T T T"
Zr 1.2241 2.4668 0.0000
Zr 2.4668 6.1577 0.0000
Zr 4.9149 1.2241 0.0000
Zr 6.1577 4.9149 0.0000
Pd 0.9700 4.6609 1.7861
Pd 2.7209 0.9700 1.7861
Pd 4.6609 6.4118 1.7861
Pd 6.4118 2.7209 1.7861
Pt 0.0000 0.0000 0.0000
Pt 3.6909 3.6909 0.0000
```

Summary:
- E_form: -469 meV/atom

[5]
Below is an optimized crystal structure of Ce2Dy2Ga3, with properties calculated at the PBE-GGA level.

extended XYZ file:
```
14
Lattice="4.0965 0.0000 0.0000 0.0000 23.8024 0.0000 0.0000 0.0000 3.3237" Properties=species:S:1:pos:R:3 pbc="T T T"
Ce 0.0000 5.0199 0.0000
Ce 0.0000 18.7825 0.0000
Ce 2.0482 6.8813 0.0000
Ce 2.0482 16.9211 0.0000
Dy 0.0000 1.6821 0.0000
Dy 0.0000 22.1203 0.0000
Dy 2.0482 10.2191 0.0000
Dy 2.0482 13.5833 0.0000
Ga 0.0000 8.6140 1.6619
Ga 0.0000 11.9012 1.6619
Ga 0.0000 15.1884 1.6619
Ga 2.0482 0.0000 1.6619
Ga 2.0482 3.2872 1.6619
Ga 2.0482 20.5152 1.6619
```

Summary:
- E_form: -417 meV/atom

[6]
Below is an optimized crystal structure of Al2CdW, with properties calculated at the PBE-GGA level.

extended XYZ file:
```
8
Lattice="3.8282 0.0000 0.0000 0.0000 4.0797 0.0000 0.0000 0.0000 8.8347" Properties=species:S:1:pos:R:3 pbc="T T T"
Al 0.0000 0.0000 0.0000
Al 0.0000 2.0399 2.1076
Al 1.9141 0.0000 2.1076
Al 1.9141 2.0399 0.0000
Cd 0.0000 0.0000 4.4872
Cd 1.9141 2.0399 4.4872
W 0.0000 2.0399 6.8407
W 1.9141 0.0000 6.8407
```

Summary:
- E_form: 253 meV/atom

[7]
Below is an optimized crystal structure of LiThPa2O8, with properties calculated at the PBE-GGA level.

extended XYZ file:
```
12
Lattice="-2.7303 2.7303 5.3745 2.7303 -2.7303 5.3745 2.7303 2.7303 -5.3745" Properties=species:S:1:pos:R:3 pbc="T T T"
Li 0.0000 0.0000 0.0000
Th 2.7303 0.0000 2.6872
Pa 0.0000 0.0000 5.3745
Pa 0.0000 2.7303 2.6872
O 1.4609 1.3841 -1.3583
O 3.9997 1.3841 -1.3583
O 1.3841 1.4609 1.3583
O 1.3462 -1.2694 6.7328
O -1.2694 1.3462 4.0161
O 1.2694 1.3462 4.0161
O 1.3841 3.9997 1.3583
O 1.3462 1.2694 6.7328
```

Summary:
- Formation energy without anion corrections: -3.253 eV/atom

[8]
Below is an optimized crystal structure of ZrRu2W, with properties calculated at the PBE-GGA level.

extended XYZ file:
```
4
Lattice="2.8576 0.0000 0.0000 0.0000 4.2448 0.0000 -1.1828 0.0000 5.4322" Properties=species:S:1:pos:R:3 pbc="T T T"
Zr 0.0000 0.0000 0.0000
Ru 0.0046 2.1224 3.9448
Ru 1.6702 2.1224 1.4874
W 0.8374 0.0000 2.7161
```

Summary:
- E_form: -10 meV/atom

[9]
Below is an optimized crystal structure of CaBe3, with properties calculated at the PBE-GGA level.

extended XYZ file:
```
8
Lattice="3.7066 0.0000 0.0000 0.0000 6.2136 0.0000 0.0000 0.0000 5.3142" Properties=species:S:1:pos:R:3 pbc="T T T"
Ca 0.9266 1.5534 0.4793
Ca 2.7799 4.6602 4.8349
Be 0.9266 0.4399 3.0147
Be 0.9266 2.6669 3.0147
Be 0.9266 4.6602 2.1995
Be 2.7799 1.5534 3.1147
Be 2.7799 3.5468 2.2995
Be 2.7799 5.7737 2.2995
```

Summary:
- E_form: 81 meV/atom

[10]
Below is an optimized crystal structure of Ca3InPb, with properties calculated at the PBE-GGA level.

extended XYZ file:
```
10
Lattice="6.9108 0.0000 0.0000 0.0000 5.0614 0.0000 -0.6983 0.0000 9.7699" Properties=species:S:1:pos:R:3 pbc="T T T"
Ca 0.0000 0.0000 0.0000
Ca 0.0115 2.5307 3.6214
Ca 1.6812 0.0000 6.3085
Ca 3.1770 0.0000 2.8411
Ca 3.6846 2.5307 8.1415
Ca 5.1769 0.0000 6.0217
In 2.0327 2.5307 0.8465
In 2.7087 0.0000 9.5169
Pb -0.0472 2.5307 7.5360
Pb 3.4341 2.5307 4.8313
```

Summary:
- E_form: -356 meV/atom

[11]
Below is an optimized crystal structure of HoEr2Tl, with properties calculated at the PBE-GGA level.

extended XYZ file:
```
4
Lattice="4.8189 0.0000 0.0000 0.0000 4.8189 0.0000 0.0000 0.0000 4.8124" Properties=species:S:1:pos:R:3 pbc="T T T"
Ho 0.0000 0.0000 0.0000
Er 0.0000 2.4095 2.4062
Er 2.4095 0.0000 2.4062
Tl 2.4095 2.4095 0.0000
```

Summary:
- E_form: -169 meV/atom

[12]
Below is an optimized crystal structure of SnSNF2, with properties calculated at the PBE-GGA level.

extended XYZ file:
```
5
Lattice="4.8892 0.0000 0.0000 0.0000 4.8892 0.0000 0.0000 0.0000 3.2656" Properties=species:S:1:pos:R:3 pbc="T T T"
Sn 0.0000 0.0000 0.0000
S 2.4446 2.4446 1.6328
N 2.4446 2.4446 0.0000
F 0.0000 2.4446 1.6328
F 2.4446 0.0000 1.6328
```

Summary:
- Formation energy without anion corrections: -0.255 eV/atom

[13]
Below is an optimized crystal structure of Ce2TmIn, with properties calculated at the PBE-GGA level.

extended XYZ file:
```
4
Lattice="4.2030 0.0000 0.0000 0.0000 4.2030 0.0000 0.0000 0.0000 6.6774" Properties=species:S:1:pos:R:3 pbc="T T T"
Ce 0.0000 0.0000 1.4247
Ce 0.0000 0.0000 5.2527
Tm 2.1015 2.1015 3.3387
In 2.1015 2.1015 0.0000
```

Summary:
- E_form: -89 meV/atom

[14]
Below is an optimized crystal structure of CeTl2Sb2Se6, with properties calculated at the PBE-GGA level.

extended XYZ file:
```
11
Lattice="3.6274 -6.3367 0.0000 3.6274 6.3367 0.0000 -2.4852 0.0000 7.7085" Properties=species:S:1:pos:R:3 pbc="T T T"
Ce 0.0000 0.0000 0.0000
Tl 2.3848 4.2377 3.8543
Tl 2.3848 -4.2377 3.8543
Sb 3.6274 2.1415 0.0000
Sb 3.6274 -2.1415 0.0000
Se 1.1895 2.1165 1.5680
Se -0.0865 0.0000 6.1259
Se 1.1895 -2.1165 1.5680
Se 3.5801 2.1165 6.1405
Se 4.8561 0.0000 1.5826
Se 3.5801 -2.1165 6.1405
```

Summary:
- Formation energy without anion corrections: -0.704 eV/atom

[15]
Below is an optimized crystal structure of Ca2MgSi, with properties calculated at the PBE-GGA level.

extended XYZ file:
```
4
Lattice="3.5302 0.0000 0.0000 0.0000 3.5302 0.0000 0.0000 0.0000 8.8808" Properties=species:S:1:pos:R:3 pbc="T T T"
Ca 0.0000 0.0000 0.0000
Ca 1.7651 1.7651 3.2166
Mg 0.0000 0.0000 5.5664
Si 1.7651 1.7651 6.9614
```

Summary:
- Formation energy without anion corrections: -0.077 eV/atom

[16]
Below is an optimized crystal structure of Li3Pm2PaSe6, with properties calculated at the PBE-GGA level.

extended XYZ file:
```
12
Lattice="3.5632 -6.1715 0.0000 3.5632 6.1715 0.0000 -2.3819 0.0000 6.5536" Properties=species:S:1:pos:R:3 pbc="T T T"
Li 0.0000 0.0000 0.0000
Li 3.5632 2.0600 0.0000
Li 3.5632 -2.0600 0.0000
Pm 2.3723 4.1107 3.2768
Pm 2.3723 -4.1107 3.2768
Pa 2.3723 0.0000 3.2768
Se 1.2159 2.0019 1.5564
Se 0.0597 0.0000 4.9760
Se 1.2159 -2.0019 1.5564
Se 3.5286 2.0019 4.9972
Se 4.6848 0.0000 1.5776
Se 3.5286 -2.0019 4.9972
```

Summary:
- Formation energy without anion corrections: -1.526 eV/atom

[17]
Below is an optimized crystal structure of Rb2Na3Cd, with properties calculated at the PBE-GGA level.

extended XYZ file:
```
12
Lattice="12.4607 0.0000 0.0000 0.0000 7.3208 0.0000 -4.0198 0.0000 5.9783" Properties=species:S:1:pos:R:3 pbc="T T T"
Rb 0.0514 0.0000 2.2926
Rb 2.1592 3.6604 3.6857
Rb 6.2818 3.6604 2.2926
Rb 8.3895 0.0000 3.6857
Na 0.0000 3.6604 0.0000
Na 3.1152 1.8302 0.0000
Na 3.1152 5.4906 0.0000
Na 6.2304 0.0000 0.0000
Na 9.3456 1.8302 0.0000
Na 9.3456 5.4906 0.0000
Cd -2.0099 3.6604 2.9892
Cd 4.2205 0.0000 2.9892
```

Summary:
- E_form: 0 meV/atom